DFT (PBE-GGA) results for a geometry-optimized La3MgHg2 structure.

Calculated values
Relative energy among the computed polymorphs ... 7 meV per atom
Fermi-level density of states ... 7.61 states/eV per cell
E_form ... -0.370 eV per atom
Space group ... P4/mmm
VASP energy ... -19.198 eV for the cell shown

Cell lengths 3.942, 3.942, 11.680 Å; angles 90.00, 90.00, 90.00 degrees
Positions (direct):
La 0.000 0.000 0.000
La 0.000 0.000 0.331
La 0.000 0.000 0.669
Mg 0.500 0.500 0.500
Hg 0.500 0.500 0.172
Hg 0.500 0.500 0.828

DFT (PBE-GGA) results for a geometry-optimized LaMg2Hg structure.

Calculated values
Fermi-level density of states ... 2.98 states/eV per cell
E_form ... -0.183 eV per atom
Space group ... P2/m
VASP energy ... -9.152 eV for the cell shown

Cell lengths 3.503, 5.025, 6.174 Å; angles 90.00, 99.57, 90.00 degrees
Positions (direct):
La 0.000 0.000 0.000
Mg 0.378 0.500 0.728
Mg 0.622 0.500 0.272
Hg 0.500 0.000 0.500

DFT (PBE-GGA) results for a geometry-optimized LaMg10Hg2 structure.

Calculated values
Fermi-level density of states ... 5.07 states/eV per cell
E_form ... -0.138 eV per atom
Space group ... Fmmm
VASP energy ... -23.269 eV for the cell shown

Cell lengths 10.091, 7.765, 7.740 Å; angles 81.21, 49.50, 49.29 degrees
Positions (direct):
La 0.000 0.000 0.000
Mg 0.000 0.500 0.000
Mg 0.005 0.650 0.350
Mg 0.285 0.504 0.496
Mg 0.350 0.995 0.005
Mg 0.496 0.715 0.285
Mg 0.500 0.000 0.500
Mg 0.504 0.285 0.715
Mg 0.650 0.005 0.995
Mg 0.715 0.496 0.504
Mg 0.995 0.350 0.650
Hg 0.000 0.000 0.500
Hg 0.500 0.500 0.000

- Which of these has the highest E_form?
  LaMg10Hg2

- The highest Fermi-level density of states belongs to which entry?
  La3MgHg2